P:
{
  "formula": "CrAg2Rh",
  "functional": "PBE-GGA",
  "state": "optimized geometry",
  "lattice": [[3.1095, 0.0000, 0.0000], [0.0000, 4.4649, 0.0000], [0.0000, 0.0000, 4.6702]],
  "species": ["Ag", "Ag", "Cr", "Rh"],
  "fractional_positions": [[0.0000, 0.0000, 0.0000], [0.5000, 0.5000, 0.0000], [0.5000, 0.0000, 0.5000], [0.0000, 0.5000, 0.5000]],
  "volume_a3_per_cell": 64.8,
  "m_tot_mub_per_cell": 3.974,
  "crystal_system": "orthorhombic",
  "dos_at_fermi_per_ev_cell": 4.1
}

---

Q:
{
  "formula": "CrAg2Rh",
  "functional": "PBE-GGA",
  "state": "optimized geometry",
  "lattice": [[-1.9042, 1.4325, 1.4391], [1.8842, -1.4039, 1.4925], [5.6964, 7.6076, -0.0353]],
  "species": ["Ag", "Ag", "Cr", "Rh"],
  "fractional_positions": [[0.0000, 0.0000, 0.0018], [0.0000, 0.0000, 0.4982], [0.5000, 0.5000, 0.2500], [0.5000, 0.5000, 0.7500]],
  "volume_a3_per_cell": 65.9,
  "m_tot_mub_per_cell": 4.371,
  "crystal_system": "orthorhombic",
  "dos_at_fermi_per_ev_cell": 4.8
}

---

R:
{
  "formula": "CrAg2Rh",
  "functional": "PBE-GGA",
  "state": "optimized geometry",
  "lattice": [[5.0519, -0.0436, 0.0815], [4.2455, 2.7386, 0.0815], [0.8227, 0.2385, 4.6271]],
  "species": ["Ag", "Ag", "Cr", "Rh"],
  "fractional_positions": [[0.0014, 0.0014, 0.9988], [0.4986, 0.4986, 0.5012], [0.2500, 0.2500, 0.2500], [0.7500, 0.7500, 0.7500]],
  "volume_a3_per_cell": 64.7,
  "m_tot_mub_per_cell": 3.673,
  "crystal_system": "monoclinic",
  "dos_at_fermi_per_ev_cell": 5.5
}

---

S:
{
  "formula": "CrAg2Rh",
  "functional": "PBE-GGA",
  "state": "optimized geometry",
  "lattice": [[-3.7678, 1.9155, -2.3136], [-3.9558, -1.7072, 2.1575], [3.8855, 2.1320, 1.8909]],
  "species": ["Ag", "Ag", "Cr", "Rh"],
  "fractional_positions": [[0.0000, 0.0000, 0.0000], [0.2500, 0.7500, 0.5000], [0.5000, 0.5000, 0.0000], [0.7500, 0.2500, 0.5000]],
  "volume_a3_per_cell": 64.0,
  "m_tot_mub_per_cell": 3.315,
  "crystal_system": "tetragonal",
  "dos_at_fermi_per_ev_cell": 4.3
}

---

Tell me which of them is the least stable. Sure, it is Q.

---

P:
{
  "formula": "CrAg2Rh",
  "functional": "PBE-GGA",
  "state": "optimized geometry",
  "lattice": [[-1.1758, -3.8299, 1.4974], [3.6977, -0.8421, 0.7499], [-0.3767, 1.5008, 3.5427]],
  "species": ["Ag", "Ag", "Cr", "Rh"],
  "fractional_positions": [[0.0000, 0.0000, 0.0000], [0.0000, 0.5000, 0.5000], [0.5000, 0.5000, 0.0000], [0.5000, 0.0000, 0.5000]],
  "volume_a3_per_cell": 63.9,
  "m_tot_mub_per_cell": 3.438,
  "crystal_system": "tetragonal",
  "dos_at_fermi_per_ev_cell": 5.5
}

---

Q:
{
  "formula": "CrAg2Rh",
  "functional": "PBE-GGA",
  "state": "optimized geometry",
  "lattice": [[-8.3387, 4.4526, 0.7552], [-8.8263, 2.3301, 2.5682], [-7.4964, 4.6710, 3.4519]],
  "species": ["Ag", "Ag", "Cr", "Rh"],
  "fractional_positions": [[0.9994, 0.9994, 0.9994], [0.5006, 0.5006, 0.5006], [0.2500, 0.2500, 0.2500], [0.7500, 0.7500, 0.7500]],
  "volume_a3_per_cell": 65.0,
  "m_tot_mub_per_cell": 4.319,
  "crystal_system": "trigonal",
  "dos_at_fermi_per_ev_cell": 6.3
}

---

Tell me which of them is the least stable. Sure, it is Q.

---

P:
{
  "formula": "Cr2AgRh2",
  "functional": "PBE-GGA",
  "state": "optimized geometry",
  "lattice": [[-1.9997, 1.9997, 4.7678], [1.9997, -1.9997, 4.7678], [1.9997, 1.9997, -4.7678]],
  "species": ["Cr", "Cr", "Ag", "Rh", "Rh"],
  "fractional_positions": [[0.6040, 0.6040, 0.0000], [0.3960, 0.3960, 0.0000], [0.0000, 0.0000, 0.0000], [0.2500, 0.7500, 0.5000], [0.7500, 0.2500, 0.5000]],
  "volume_a3_per_cell": 76.3,
  "m_tot_mub_per_cell": 0.000,
  "crystal_system": "tetragonal",
  "dos_at_fermi_per_ev_cell": 3.9
}

---

Q:
{
  "formula": "Cr2AgRh2",
  "functional": "PBE-GGA",
  "state": "optimized geometry",
  "lattice": [[-1.6709, 7.1175, -0.5944], [-7.0433, -1.5408, 1.3494], [0.4315, 0.3199, 2.6175]],
  "species": ["Cr", "Cr", "Cr", "Cr", "Rh", "Rh", "Rh", "Rh", "Ag", "Ag"],
  "fractional_positions": [[0.1643, 0.6643, 0.5000], [0.6643, 0.8357, 0.5000], [0.8357, 0.3357, 0.5000], [0.3357, 0.1643, 0.5000], [0.3704, 0.8704, 0.0000], [0.8704, 0.6296, 0.0000], [0.6296, 0.1296, 0.0000], [0.1296, 0.3704, 0.0000], [0.0000, 0.0000, 0.0000], [0.5000, 0.5000, 0.0000]],
  "volume_a3_per_cell": 143.8,
  "m_tot_mub_per_cell": 0.757,
  "crystal_system": "tetragonal",
  "dos_at_fermi_per_ev_cell": 11.8
}

---

Tell me which of them is the least stable. Sure, it is P.

---

P:
{
  "formula": "Cr3AgS",
  "functional": "PBE-GGA",
  "state": "optimized geometry",
  "lattice": [[4.9809, 0.0000, 0.0000], [0.0000, 4.9809, 0.0000], [0.0000, 0.0000, 4.9809]],
  "species": ["Cr", "Cr", "Cr", "S", "Ag"],
  "fractional_positions": [[0.0000, 0.5000, 0.0000], [0.0000, 0.0000, 0.5000], [0.5000, 0.0000, 0.0000], [0.5000, 0.5000, 0.5000], [0.0000, 0.0000, 0.0000]],
  "volume_a3_per_cell": 123.6,
  "m_tot_mub_per_cell": 13.734,
  "crystal_system": "cubic",
  "dos_at_fermi_per_ev_cell": 7.0
}

---

Q:
{
  "formula": "Cr3AgS",
  "functional": "PBE-GGA",
  "state": "optimized geometry",
  "lattice": [[4.1844, 0.0000, 0.0000], [0.0000, 4.1844, 0.0000], [0.0000, 0.0000, 4.1844]],
  "species": ["Cr", "Cr", "Cr", "S", "Ag"],
  "fractional_positions": [[0.0000, 0.5000, 0.0000], [0.0000, 0.0000, 0.5000], [0.5000, 0.0000, 0.0000], [0.0000, 0.0000, 0.0000], [0.5000, 0.5000, 0.5000]],
  "volume_a3_per_cell": 73.3,
  "m_tot_mub_per_cell": 1.131,
  "crystal_system": "cubic",
  "dos_at_fermi_per_ev_cell": 6.5
}

---

Tell me which of them is the least stable. Sure, it is P.

---

P:
{
  "formula": "TaCr3Ag2S8",
  "functional": "PBE-GGA",
  "state": "optimized geometry",
  "lattice": [[-5.9380, -2.6478, -3.1861], [3.4955, -0.0799, -6.4483], [3.2396, -9.5203, 1.8741]],
  "species": ["Ta", "Ta", "Cr", "Cr", "Cr", "Cr", "Cr", "Cr", "Ag", "Ag", "Ag", "Ag", "S", "S", "S", "S", "S", "S", "S", "S", "S", "S", "S", "S", "S", "S", "S", "S"],
  "fractional_positions": [[0.0000, 0.4673, 0.5000], [0.5000, 0.5327, 0.5000], [0.2541, 0.7536, 0.2476], [0.7459, 0.7536, 0.7524], [0.2459, 0.2464, 0.2476], [0.7541, 0.2464, 0.7524], [0.0000, 0.9979, 0.0000], [0.5000, 0.0021, 0.0000], [0.7500, 0.0000, 0.3583], [0.7500, 0.5000, 0.1145], [0.2500, 0.0000, 0.6417], [0.2500, 0.5000, 0.8855], [0.7481, 0.7822, 0.9836], [0.2406, 0.7326, 0.4916], [0.7406, 0.2674, 0.5084], [0.2481, 0.2178, 0.0164], [0.0356, 0.9973, 0.2335], [0.9738, 0.5047, 0.7372], [0.5356, 0.0027, 0.7665], [0.4738, 0.4953, 0.2628], [0.2594, 0.2674, 0.4916], [0.7519, 0.2178, 0.9836], [0.2519, 0.7822, 0.0164], [0.7594, 0.7326, 0.5084], [0.5262, 0.4953, 0.7372], [0.4644, 0.0027, 0.2335], [0.0262, 0.5047, 0.2628], [0.9644, 0.9973, 0.7665]],
  "volume_a3_per_cell": 543.3,
  "m_tot_mub_per_cell": 17.592,
  "crystal_system": "orthorhombic",
  "dos_at_fermi_per_ev_cell": 6.5
}

---

Q:
{
  "formula": "TaCr3Ag2S8",
  "functional": "PBE-GGA",
  "state": "optimized geometry",
  "lattice": [[3.4729, 0.0000, 0.0000], [0.0000, 11.1756, 0.0000], [0.0000, 0.0000, 13.0900]],
  "species": ["Ta", "Ta", "Cr", "Cr", "Cr", "Cr", "Cr", "Cr", "Ag", "Ag", "Ag", "Ag", "S", "S", "S", "S", "S", "S", "S", "S", "S", "S", "S", "S", "S", "S", "S", "S"],
  "fractional_positions": [[0.5000, 0.9071, 0.6415], [0.5000, 0.4071, 0.3585], [0.5000, 0.9475, 0.1204], [0.0000, 0.0546, 0.3399], [0.0000, 0.5546, 0.6601], [0.5000, 0.4475, 0.8796], [0.0000, 0.0870, 0.8369], [0.0000, 0.5870, 0.1631], [0.5000, 0.7460, 0.9420], [0.0000, 0.2622, 0.6065], [0.0000, 0.7622, 0.3935], [0.5000, 0.2460, 0.0580], [0.0000, 0.9597, 0.5162], [0.5000, 0.0290, 0.9477], [0.5000, 0.5290, 0.0523], [0.0000, 0.4597, 0.4838], [0.5000, 0.9207, 0.2986], [0.0000, 0.0905, 0.1632], [0.0000, 0.5905, 0.8368], [0.5000, 0.4207, 0.7014], [0.0000, 0.8832, 0.7749], [0.5000, 0.1179, 0.7067], [0.5000, 0.6179, 0.2933], [0.0000, 0.3832, 0.2251], [0.0000, 0.7989, 0.0957], [0.5000, 0.1955, 0.3875], [0.5000, 0.6955, 0.6125], [0.0000, 0.2989, 0.9043]],
  "volume_a3_per_cell": 508.1,
  "m_tot_mub_per_cell": 17.513,
  "crystal_system": "orthorhombic",
  "dos_at_fermi_per_ev_cell": 8.1
}

---

Tell me which of them is the least stable. Sure, it is Q.